! TbSi2NiRu PBE relaxed; values from VASP
! calculated total energy: -6.974 eV/atom
! D(E_F): 2.4 states/eV/f.u.
! formation energy (no corrections): -867 meV/atom
&SYSTEM
  ibrav = 0, nat = 5, ntyp = 4
/
ATOMIC_SPECIES
Tb 158.93 Tb.upf
Si 28.09 Si.upf
Ni 58.69 Ni.upf
Ru 101.07 Ru.upf
ATOMIC_POSITIONS angstrom
Tb 0.000 0.000 0.000
Si -1.925 -0.919 2.218
Ni -2.907 0.863 1.025
Si -1.805 2.830 1.717
Ru -0.824 1.048 2.910
CELL_PARAMETERS angstrom
-3.414 -2.037 -0.233
0.753 -1.666 3.537
-1.070 5.613 0.631

! LiSc2Te PBE relaxed; values from VASP
! calculated total energy: -4.891 eV/atom
! D(E_F): 2.4 states/eV/f.u.
! formation energy (no corrections): -462 meV/atom
&SYSTEM
  ibrav = 0, nat = 4, ntyp = 3
/
ATOMIC_SPECIES
Te 127.60 Te.upf
Li 6.94 Li.upf
Sc 44.96 Sc.upf
ATOMIC_POSITIONS angstrom
Te 2.796 1.135 0.957
Li 8.389 3.406 2.871
Sc 5.592 2.271 1.915
Sc 1.648 0.669 3.869
CELL_PARAMETERS angstrom
5.571 -0.036 -0.021
3.969 3.910 -0.021
1.647 0.669 3.869

! MgMn3Rh4 PBE relaxed; values from VASP
! formation energy: -0.262 eV/atom
! calculated total energy: -7.576 eV/atom
! D(E_F): 8.0 states/eV/f.u.
&SYSTEM
  ibrav = 0, nat = 8, ntyp = 3
/
ATOMIC_SPECIES
Rh 102.91 Rh.upf
Mg 24.30 Mg.upf
Mn 54.94 Mn.upf
ATOMIC_POSITIONS angstrom
Rh 0.000 2.155 6.405
Mg 1.522 2.155 0.000
Rh 0.000 0.000 4.318
Rh 0.000 2.155 2.231
Rh 0.000 0.000 0.000
Mn 1.522 0.000 6.492
Mn 1.522 2.155 4.318
Mn 1.522 0.000 2.144
CELL_PARAMETERS angstrom
3.043 0.000 0.000
0.000 4.310 0.000
0.000 0.000 8.635

! La2TlZn2 PBE relaxed; values from VASP
! formation energy: -0.096 eV/atom
! calculated total energy: -3.050 eV/atom
! D(E_F): 6.4 states/eV/f.u.
&SYSTEM
  ibrav = 0, nat = 5, ntyp = 3
/
ATOMIC_SPECIES
Zn 65.41 Zn.upf
Tl 204.38 Tl.upf
La 138.91 La.upf
ATOMIC_POSITIONS angstrom
Zn -2.700 0.922 3.331
Tl 0.000 0.000 0.000
Zn -5.123 1.734 7.104
La -4.638 -0.657 5.179
La -3.186 3.314 5.257
CELL_PARAMETERS angstrom
-1.854 5.134 2.445
-4.758 -2.809 2.290
-1.212 0.332 5.701

! TaAl2ReOs PBE relaxed; values from VASP
! formation energy: 1.352 eV/atom
! calculated total energy: -7.251 eV/atom
! D(E_F): 4.6 states/eV/f.u.
&SYSTEM
  ibrav = 0, nat = 5, ntyp = 4
/
ATOMIC_SPECIES
Re 186.21 Re.upf
Os 190.23 Os.upf
Al 26.98 Al.upf
Ta 180.95 Ta.upf
ATOMIC_POSITIONS angstrom
Re 0.000 0.000 0.000
Os 2.295 2.295 2.423
Al 0.000 2.295 0.000
Al 2.295 0.000 0.000
Ta 0.000 0.000 2.423
CELL_PARAMETERS angstrom
4.591 0.000 0.000
0.000 4.591 0.000
0.000 0.000 4.845

! LaOsSe2 PBE relaxed; values from VASP
! calculated total energy: -5.880 eV/atom
! E above lowest polymorph: 602 meV/atom
! D(E_F): 4.3 states/eV/f.u.
! formation energy (no corrections): -99 meV/atom
&SYSTEM
  ibrav = 0, nat = 4, ntyp = 3
/
ATOMIC_SPECIES
Se 78.96 Se.upf
La 138.91 La.upf
Os 190.23 Os.upf
ATOMIC_POSITIONS angstrom
Se 0.000 0.000 21.514
La 0.000 0.000 0.000
Os 0.000 0.000 12.224
Se 0.000 0.000 2.934
CELL_PARAMETERS angstrom
2.260 0.000 8.149
-1.130 1.957 8.149
-1.130 -1.957 8.149

D(E_F) of number 5 (TaAl2ReOs)? 4.6 states/eV/f.u.

Which formula does entry 4 have? La2TlZn2